No. 1
Computed, not measured: a relaxed TaIrOs crystal at the PBE-GGA level of DFT.

Results
* crystal system: trigonal
* final energy: -10.68 eV per atom
* distance to the lowest polymorph of the same formula: 310 meV per atom
* Fermi-level density of states: 2.90 states/eV/cell

Unit cell a=2.786 b=2.786 c=6.951 alpha=90.00 beta=90.00 gamma=120.00
Element x y z (fractional)
1 Ta 0.000 0.000 0.000
2 Ir 0.333 0.667 0.336
3 Os 0.667 0.333 0.659

No. 2
Computed, not measured: a relaxed PmSmTlBi crystal at the PBE-GGA level of DFT.

Results
* crystal system: cubic
* final energy: -4.39 eV per atom
* Fermi-level density of states: 4.52 states/eV/cell

Unit cell a=5.540 b=5.540 c=5.540 alpha=60.00 beta=60.00 gamma=60.00
Element x y z (fractional)
1 Pm 0.000 0.000 0.000
2 Sm 0.500 0.500 0.500
3 Tl 0.250 0.250 0.250
4 Bi 0.750 0.750 0.750

No. 3
Computed, not measured: a relaxed Sr2CdTe crystal at the PBE-GGA level of DFT.

Results
* crystal system: monoclinic
* final energy: -2.68 eV per atom
* distance to the lowest polymorph of the same formula: 67 meV per atom
* Fermi-level density of states: 2.60 states/eV/cell

Unit cell a=6.769 b=6.769 c=4.876 alpha=90.08 beta=90.08 gamma=40.16
Element x y z (fractional)
1 Sr 0.000 0.000 0.000
2 Sr 0.730 0.730 0.500
3 Cd 0.264 0.264 0.000
4 Te 0.458 0.458 0.500

No. 4
Computed, not measured: a relaxed LaAgP3 crystal at the PBE-GGA level of DFT.

Results
* crystal system: cubic
* final energy: -3.82 eV per atom
* distance to the lowest polymorph of the same formula: 896 meV per atom
* Fermi-level density of states: 4.72 states/eV/cell

Unit cell a=5.432 b=5.432 c=5.432 alpha=90.00 beta=90.00 gamma=90.00
Element x y z (fractional)
1 La 0.000 0.000 0.000
2 Ag 0.500 0.500 0.500
3 P 0.000 0.000 0.500
4 P 0.000 0.500 0.000
5 P 0.500 0.000 0.000

- Look up the Fermi-level density of states of the third one.
  2.60 states/eV/cell

- Number 3 is which compound?
  Sr2CdTe

- Which of these has the highest Fermi-level density of states?
  LaAgP3